The following is a DFT calculation (GGA-PBE) of a relaxed structure of DyHo2Pa2Ru5.

## Properties
**Calculated formation energy**: -321 meV per atom
**Magnetization**: 0.00 μB per formula unit

a = 10.587 Å, b = 10.587 Å, c = 3.685 Å
α = 90.00°, β = 90.00°, γ = 90.00°
Space group P4/mbm (No. 127)
Asymmetric unit:
1 Dy 0.000 0.000 0.000 x2
2 Ho 0.172 0.328 0.000 x4
3 Pa 0.134 0.634 0.000 x4
4 Ru 0.000 0.500 0.500 x2
5 Ru 0.055 0.791 0.500 x8

=====

The following is a DFT calculation (GGA-PBE) of a relaxed structure of LaAlMo2.

## Properties
**Calculated formation energy**: 3 meV per atom
**Magnetization**: 0.00 μB per formula unit

a = 3.244 Å, b = 3.244 Å, c = 7.646 Å
α = 90.00°, β = 90.00°, γ = 90.00°
Space group P4mm (No. 99)
Asymmetric unit:
1 La 0.000 0.000 0.000 x1
2 Al 0.500 0.500 0.675 x1
3 Mo 0.000 0.000 0.473 x1
4 Mo 0.500 0.500 0.299 x1

=====

The following is a DFT calculation (GGA-PBE) of a relaxed structure of NbB2Os.

## Properties
**Calculated formation energy**: 549 meV per atom
**Polymorph energy (0 for the lowest one)**: 0.960 eV per atom
**Magnetization**: 0.00 μB per formula unit

a = 4.590 Å, b = 4.590 Å, c = 10.874 Å
α = 90.00°, β = 90.00°, γ = 90.00°
Space group I-42d (No. 122)
Asymmetric unit:
1 Nb 0.000 0.000 0.000 x4
2 B 0.199 0.250 0.625 x8
3 Os 0.000 0.000 0.500 x4

=====

The following is a DFT calculation (GGA-PBE) of a relaxed structure of Li4YU3Se8.

## Properties
**Magnetization**: 9.00 μB per formula unit
**Energy relative to the elements, uncorrected**: -29.977 kcal/mol of atoms

a = 8.0753 Å, b = 8.0753 Å, c = 19.7651 Å
α = 90.00°, β = 90.00°, γ = 120.00°
Space group R-3m (No. 166, hexagonal axes)
Asymmetric unit:
1 Li 0.0000 0.0000 0.0000 x3
2 Li 0.0000 0.5000 0.0000 x9
3 Y 0.0000 0.0000 0.5000 x3
4 U 0.0000 0.5000 0.5000 x9
5 Se 0.0000 0.0000 0.2536 x6
6 Se 0.0012 0.5006 0.2529 x18

=====

The following is a DFT calculation (GGA-PBE) of a relaxed structure of SrCa2Zn.

## Properties
**Calculated formation energy**: -101 meV per atom
**Magnetization**: 0.00 μB per formula unit

a = 3.814 Å, b = 3.814 Å, c = 9.885 Å
α = 90.00°, β = 90.00°, γ = 90.00°
Space group P4/mmm (No. 123)
Asymmetric unit:
1 Sr 0.000 0.000 0.000 x1
2 Ca 0.500 0.500 0.321 x2
3 Zn 0.000 0.000 0.500 x1

=====

The following is a DFT calculation (GGA-PBE) of a relaxed structure of Pm4Ga3Ni.

## Properties
**Calculated formation energy**: -507 meV per atom
**Magnetization**: 0.00 μB per formula unit

a = 4.273 Å, b = 4.346 Å, c = 10.668 Å
α = 90.00°, β = 90.00°, γ = 90.00°
Space group Pmm2 (No. 25)
Asymmetric unit:
1 Pm 0.000 0.000 0.000 x1
2 Pm 0.000 0.500 0.468 x1
3 Pm 0.500 0.000 0.694 x1
4 Pm 0.500 0.500 0.199 x1
5 Ga 0.000 0.500 0.767 x1
6 Ga 0.500 0.000 0.400 x1
7 Ga 0.500 0.500 0.914 x1
8 Ni 0.000 0.000 0.275 x1

=====

The following is a DFT calculation (GGA-PBE) of a relaxed structure of TaCuAs2.

## Properties
**Calculated formation energy**: 164 meV per atom
**Magnetization**: 0.00 μB per formula unit

a = 5.725 Å, b = 5.725 Å, c = 11.244 Å
α = 90.00°, β = 90.00°, γ = 90.00°
Space group I-42d (No. 122)
Asymmetric unit:
1 Ta 0.000 0.000 0.000 x4
2 Cu 0.000 0.000 0.500 x4
3 As 0.240 0.250 0.625 x8